Record 1
Nd5SmTl: relaxed, PBE.

Lattice parameters (Å, degrees): 5.668 5.668 7.690 90.00 90.00 90.00
Fractional positions:
Nd: 0.500 0.500 0.000
Nd: 0.500 0.000 0.259
Nd: 0.000 0.500 0.259
Nd: 0.500 0.000 0.741
Nd: 0.000 0.500 0.741
Sm: 0.000 0.000 0.500
Tl: 0.000 0.000 0.000

Values from the calculation:
ΔE_f: 0.26 eV/atom

***

Record 2
Pr8Rh3Au2: relaxed, PBE.

Lattice parameters (Å, degrees): 5.058 10.267 8.880 125.28 90.00 90.00
Fractional positions:
Pr: 0.000 0.619 0.237
Pr: 0.000 0.381 0.763
Pr: 0.000 0.118 0.237
Pr: 0.000 0.882 0.763
Pr: 0.500 0.636 0.762
Pr: 0.500 0.127 0.762
Pr: 0.500 0.873 0.238
Pr: 0.500 0.364 0.238
Rh: 0.500 0.000 0.000
Rh: 0.000 0.256 0.000
Rh: 0.000 0.744 0.000
Au: 0.500 0.257 0.514
Au: 0.500 0.743 0.486

Values from the calculation:
ΔE_f: -0.48 eV/atom

***

Record 3
Cs2K2Li: relaxed, PBE.

Lattice parameters (Å, degrees): 5.656 5.656 13.766 78.15 78.15 90.00
Fractional positions:
Cs: 0.411 0.411 0.177
Cs: 0.589 0.589 0.823
K: 0.750 0.250 0.500
K: 0.250 0.750 0.500
Li: 0.000 0.000 0.000

Values from the calculation:
offset from the most stable computed form: 0.0561 eV per atom
ΔE_f: 0.17 eV/atom

***

Record 4
LaTe2AsI: relaxed, PBE.

Lattice parameters (Å, degrees): 5.576 5.576 5.389 90.00 90.00 90.00
Fractional positions:
I: 0.000 0.000 0.500
As: 0.000 0.000 0.000
Te: 0.000 0.500 0.000
Te: 0.500 0.000 0.000
La: 0.500 0.500 0.500

Values from the calculation:
E_form (uncorrected): -1.9 eV/f.u.
offset from the most stable computed form: 0.0000 eV per atom

***

Record 5
RbTeRuO6: relaxed, PBE.

Lattice parameters (Å, degrees): 5.283 5.283 6.436 90.00 90.00 60.00
Fractional positions:
Rb: 0.000 0.000 0.000
Te: 0.333 0.333 0.500
Ru: 0.667 0.667 0.500
O: 0.001 0.383 0.329
O: 0.383 0.001 0.671
O: 0.616 0.383 0.671
O: 0.001 0.616 0.671
O: 0.383 0.616 0.329
O: 0.616 0.001 0.329

Values from the calculation:
E_form (uncorrected): -10.2 eV/f.u.

***

Record 6
ReTcW2I: relaxed, PBE.

Lattice parameters (Å, degrees): 4.801 5.260 4.801 90.00 90.00 90.00
Fractional positions:
I: 0.000 0.500 0.000
Re: 0.000 0.000 0.000
Tc: 0.500 0.500 0.500
W: 0.000 0.000 0.500
W: 0.500 0.000 0.000

Values from the calculation:
E_form (uncorrected): 12.7 eV/f.u.
offset from the most stable computed form: 0.0000 eV per atom